CdPt2Au | SCAN | single point on PBEsol structure

Results
- Formation energy: -0.39 eV per formula unit
- Space group: Imm2, No. 44

a b c (Å): 2.8392 4.7896 5.5851
angles (deg): 115.39 104.72 90.00
Positions (direct):
Cd1 0.2547 0.7547 0.5095
Pt1 0.0050 0.0050 0.0100
Pt2 0.7452 0.2452 0.4905
Au1 0.4950 0.4950 0.9900

=====

CdPt2Au | SCAN | single point on PBEsol structure

Results
- Formation energy: -0.47 eV per formula unit
- Space group: I-4m2, No. 119

a b c (Å): 4.0830 4.0830 4.8622
angles (deg): 114.83 114.83 90.00
Positions (direct):
Pt1 0.7500 0.2500 0.5000
Pt2 0.0000 0.0000 0.0000
Au1 0.5000 0.5000 0.0000
Cd1 0.2500 0.7500 0.5000

=====

Ta2CdPtAu | SCAN | single point on PBEsol structure

Results
- Formation energy: 4.95 eV per formula unit
- Space group: P4/mmm, No. 123

a b c (Å): 4.8268 4.8268 4.9280
angles (deg): 90.00 90.00 90.00
Positions (direct):
Au1 0.5000 0.5000 0.5000
Pt1 0.0000 0.0000 0.0000
Cd1 0.0000 0.0000 0.5000
Ta1 0.0000 0.5000 0.0000
Ta2 0.5000 0.0000 0.0000

=====

PuCdAu2 | SCAN | single point on PBEsol structure

Results
- Formation energy: -1.30 eV per formula unit
- Space group: Fm-3m, No. 225

a b c (Å): 4.8922 4.8922 4.8922
angles (deg): 60.00 60.00 60.00
Last column: magnetic moment on the atom in μB.
Positions (direct):
Au1 0.2500 0.2500 0.2500  0.01
Au2 0.7500 0.7500 0.7500  0.01
Pu1 0.0000 0.0000 0.0000  5.25
Cd1 0.5000 0.5000 0.5000  0.01

=====

RbCd3Au | SCAN | single point on PBEsol structure

Results
- Formation energy: -0.91 eV per formula unit
- Space group: Pm-3m, No. 221

a b c (Å): 5.2945 5.2945 5.2945
angles (deg): 90.00 90.00 90.00
Positions (direct):
Cd1 0.5000 0.0000 0.0000
Cd2 0.0000 0.0000 0.5000
Cd3 0.0000 0.5000 0.0000
Rb1 0.5000 0.5000 0.5000
Au1 0.0000 0.0000 0.0000

=====

RbCdAu2 | SCAN | single point on PBEsol structure

Results
- Formation energy: -0.99 eV per formula unit
- Space group: I4_1/amd, No. 141

a b c (Å): 5.2872 5.2872 10.1238
angles (deg): 105.14 105.14 90.00
Positions (direct):
Cd1 0.2500 0.7500 0.5000
Cd2 0.0000 0.0000 0.0000
Rb1 0.7500 0.2500 0.5000
Rb2 0.5000 0.5000 0.0000
Au1 0.1250 0.3750 0.2500
Au2 0.1250 0.8750 0.2500
Au3 0.1250 0.8750 0.7500
Au4 0.6250 0.8750 0.7500

=====

Rb2Cd2Au | SCAN | single point on PBEsol structure

Results
- Energy above the lowest structure with this stoichiometry: 0.044 eV per atom
- Formation energy: -0.57 eV per formula unit
- Space group: P4/mbm, No. 127

a b c (Å): 5.9067 7.3508 7.3508
angles (deg): 90.00 90.00 90.00
Positions (direct):
Rb1 0.5000 0.8168 0.3168
Rb2 0.5000 0.3168 0.1832
Rb3 0.5000 0.6832 0.8168
Rb4 0.5000 0.1832 0.6832
Cd1 0.0000 0.1411 0.3589
Cd2 0.0000 0.8589 0.6411
Cd3 0.0000 0.3589 0.8589
Cd4 0.0000 0.6411 0.1411
Au1 0.0000 0.0000 0.0000
Au2 0.0000 0.5000 0.5000

=====

Rb2Cd2Au | SCAN | single point on PBEsol structure

Results
- Energy above the lowest structure with this stoichiometry: 0.092 eV per atom
- Formation energy: -0.33 eV per formula unit
- Space group: I4/mmm, No. 139

a b c (Å): 6.3061 6.3061 6.3061
angles (deg): 78.91 66.18 113.82
Positions (direct):
Rb1 0.5000 0.7500 0.7500
Rb2 0.5000 0.2500 0.2500
Cd1 0.0000 0.6693 0.3307
Cd2 0.0000 0.3307 0.6693
Au1 0.0000 0.0000 0.0000

=====

Rb2Cd2Au | SCAN | single point on PBEsol structure

Results
- Energy above the lowest structure with this stoichiometry: 0.000 eV per atom
- Formation energy: -0.79 eV per formula unit
- Space group: I4/mmm, No. 139

a b c (Å): 4.0516 4.0516 10.9010
angles (deg): 100.71 100.71 90.00
Positions (direct):
Au1 0.0000 0.0000 0.0000
Rb1 0.5940 0.5940 0.1881
Rb2 0.4060 0.4060 0.8119
Cd1 0.7500 0.2500 0.5000
Cd2 0.2500 0.7500 0.5000

=====

CdReAu | SCAN | single point on PBEsol structure

Results
- Energy above the lowest structure with this stoichiometry: 0.998 eV per atom
- Formation energy: 4.12 eV per formula unit
- Space group: F-43m, No. 216

a b c (Å): 4.3726 4.3726 4.3726
angles (deg): 60.00 60.00 60.00
Last column: magnetic moment on the atom in μB.
Positions (direct):
Au1 0.5000 0.5000 0.5000  0.01
Re1 0.0000 0.0000 0.0000  2.01
Cd1 0.2500 0.2500 0.2500  0.02

=====

CdReAu2 | SCAN | single point on PBEsol structure

Results
- Formation energy: 1.33 eV per formula unit
- Space group: P4/mmm, No. 123

a b c (Å): 2.7631 4.9297 4.9297
angles (deg): 90.00 90.00 90.00
Last column: magnetic moment on the atom in μB.
Positions (direct):
Re1 0.5000 0.0000 0.0000  0.81
Cd1 0.5000 0.5000 0.5000  0.01
Au1 0.0000 0.0000 0.5000  0.03
Au2 0.0000 0.5000 0.0000  0.03

=====

CdReAu | SCAN | single point on PBEsol structure

Results
- Energy above the lowest structure with this stoichiometry: 0.000 eV per atom
- Formation energy: 1.13 eV per formula unit
- Space group: P3m1, No. 156

a b c (Å): 2.8259 2.8259 7.1439
angles (deg): 90.00 90.00 120.00
Positions (direct):
Re1 0.6667 0.3333 0.3270
Cd1 0.3333 0.6667 0.6640
Au1 0.0000 0.0000 0.0090

=====

CdRhAu2 | SCAN | single point on PBEsol structure

Results
- Formation energy: -0.31 eV per formula unit
- Space group: I-4m2, No. 119

a b c (Å): 4.1247 4.1247 4.8361
angles (deg): 115.24 115.24 90.00
Positions (direct):
Au1 0.7500 0.2500 0.5000
Au2 0.0000 0.0000 0.0000
Rh1 0.2500 0.7500 0.5000
Cd1 0.5000 0.5000 0.0000

=====

CdRhAu2 | SCAN | single point on PBEsol structure

Results
- Formation energy: -0.17 eV per formula unit
- Space group: Cm, No. 8

a b c (Å): 2.9793 4.8270 4.9107
angles (deg): 101.73 107.66 90.00
Positions (direct):
Cd1 0.5037 0.5090 0.0073
Rh1 0.2509 0.7485 0.5018
Au1 0.9962 0.9979 0.9924
Au2 0.7492 0.2446 0.4984

=====

CdRh2Au | SCAN | single point on PBEsol structure

Results
- Formation energy: 0.02 eV per formula unit
- Space group: I-4m2, No. 119

a b c (Å): 3.9667 3.9667 4.8378
angles (deg): 114.20 114.20 90.00
Last column: magnetic moment on the atom in μB.
Positions (direct):
Rh1 0.0000 0.0000 0.0000  0.71
Rh2 0.7500 0.2500 0.5000  0.71
Cd1 0.2500 0.7500 0.5000  -0.02
Au1 0.5000 0.5000 0.0000  0.08